Entry 1:
Material: Cd2CoNi
Method: DFT, PBE
State: optimized geometry

Energy of formation   0.342 eV/atom

Unit cell a=4.4652 b=4.4652 c=4.4652 alpha=60.00 beta=60.00 gamma=60.00
Fractional positions:
Cd: 0.0000 0.0000 0.0000
Cd: 0.2500 0.2500 0.2500
Co: 0.7500 0.7500 0.7500
Ni: 0.5000 0.5000 0.5000

=====

Entry 2:
Material: ZrScTcPt
Method: DFT, PBE
State: optimized geometry

Energy of formation   -0.803 eV/atom

Unit cell a=3.3303 b=3.3303 c=6.4476 alpha=90.00 beta=90.00 gamma=90.00
Fractional positions:
Zr: 0.0000 0.0000 0.0000
Sc: 0.0000 0.0000 0.4821
Tc: 0.5000 0.5000 0.2333
Pt: 0.5000 0.5000 0.7350

=====

Entry 3:
Material: RbAu2Se2
Method: DFT, PBE
State: optimized geometry

Energy relative to the elements, uncorrected   -0.39 eV per atom

Unit cell a=6.0558 b=6.0558 c=6.6219 alpha=102.44 beta=102.44 gamma=54.88
Fractional positions:
Rb: 0.0000 0.0000 0.0000
Au: 0.0000 0.5000 0.5000
Au: 0.5000 0.0000 0.5000
Se: 0.2836 0.2836 0.8132
Se: 0.7164 0.7164 0.1868

=====

So what do the calculations give for V? Going down the list: 63.0 71.5 192.7 Å³/cell.